Below is an optimized crystal structure of ScZn3Ag, with properties calculated at the GGA-PBE level.

The structure in POSCAR format:
```
ScZn3Ag
1.0
5.2170 0.0000 0.0000
0.0000 5.2170 0.0000
0.0000 0.0000 5.2170
Sc Zn Ag
1 3 1
direct
0.0000 0.0000 0.0000
0.0000 0.0000 0.5000
0.0000 0.5000 0.0000
0.5000 0.0000 0.0000
0.5000 0.5000 0.5000
```

Calculated values
Magnetization: 0.000 μB/atom
ΔH_f (0 K): 862 meV/atom
Symmetry: Pm-3m
Calculated total energy: -8.69 eV for the cell shown
Crystal system: cubic